# 1
Below is a relaxed structure of Mg2CuRu2, with properties calculated at the PBE-GGA level.

Results
For the formation energy from the elements, the calculation gives 0.200 eV per atom. The magnetic moment is 1.88 μB/cell. For the distance to the lowest polymorph of the same formula, the calculation gives 0 meV/atom.

a b c (Å): 6.3728 6.3728 4.0973
angles (deg): 90.00 90.00 90.00
Last column: nearest neighbours and their distance in Å.
Space group P4/mbm (No. 127)
Asymmetric unit:
1 Mg 0.1717 0.3283 0.0000 x4  6 Ru 2.72-2.82
2 Cu 0.0000 0.0000 0.5000 x2  4 Ru 2.50
3 Ru 0.1302 0.6302 0.5000 x4  1 Ru 2.35, 2 Cu 2.50



# 2
Below is a relaxed structure of MgScCuRu, with properties calculated at the PBE-GGA level.

Results
For the formation energy from the elements, the calculation gives -0.246 eV per atom. The magnetic moment is 0.00 μB/cell.

a b c (Å): 6.3634 6.3634 6.3634
angles (deg): 90.00 90.00 90.00
Last column: nearest neighbours and their distance in Å.
Space group F-43m (No. 216)
Asymmetric unit:
1 Mg 0.0000 0.0000 0.0000 x4  4 Ru 2.76, 4 Cu 2.76
2 Sc 0.0000 0.0000 0.5000 x4  4 Cu 2.76, 4 Ru 2.76
3 Cu 0.2500 0.2500 0.2500 x4  4 Mg 2.76, 4 Sc 2.76
4 Ru 0.2500 0.2500 0.7500 x4  4 Mg 2.76, 4 Sc 2.76



# 3
Below is a relaxed structure of MgCu2SiRu, with properties calculated at the PBE-GGA level.

Results
For the final energy, the calculation gives -4.6274 eV/atom. The magnetic moment is 0.00 μB/cell.

a b c (Å): 4.3471 4.3471 4.4487
angles (deg): 90.00 90.00 90.00
Last column: nearest neighbours and their distance in Å.
Space group P4/mmm (No. 123)
Asymmetric unit:
1 Mg 0.0000 0.0000 0.0000 x1  4 Ru 3.07, 8 Cu 3.11
2 Cu 0.0000 0.5000 0.5000 x2  2 Si 2.17
3 Si 0.5000 0.5000 0.5000 x1  4 Cu 2.17, 2 Ru 2.22
4 Ru 0.5000 0.5000 0.0000 x1  2 Si 2.22



# 4
Below is a relaxed structure of SmMgCuRu, with properties calculated at the PBE-GGA level.

Results
For the formation energy from the elements, the calculation gives -0.066 eV per atom. The magnetic moment is 0.00 μB/cell.

a b c (Å): 6.6944 6.6944 6.6944
angles (deg): 90.00 90.00 90.00
Last column: nearest neighbours and their distance in Å.
Space group F-43m (No. 216)
Asymmetric unit:
1 Sm 0.0000 0.0000 0.0000 x4  4 Ru 2.90, 4 Cu 2.90
2 Mg 0.0000 0.0000 0.5000 x4  4 Ru 2.90, 4 Cu 2.90
3 Cu 0.2500 0.2500 0.7500 x4  4 Mg 2.90, 4 Sm 2.90
4 Ru 0.2500 0.2500 0.2500 x4  4 Mg 2.90, 4 Sm 2.90



# 5
Below is a relaxed structure of MgCuSnRu, with properties calculated at the PBE-GGA level.

Results
For the formation energy from the elements, the calculation gives -0.079 eV per atom. The magnetic moment is 0.00 μB/cell.

a b c (Å): 6.3579 6.3579 6.3579
angles (deg): 90.00 90.00 90.00
Last column: nearest neighbours and their distance in Å.
Space group F-43m (No. 216)
Asymmetric unit:
1 Mg 0.0000 0.0000 0.0000 x4  4 Ru 2.75, 4 Cu 2.75
2 Cu 0.2500 0.2500 0.2500 x4  4 Sn 2.75, 4 Mg 2.75
3 Sn 0.0000 0.0000 0.5000 x4  4 Ru 2.75, 4 Cu 2.75
4 Ru 0.2500 0.2500 0.7500 x4  4 Sn 2.75, 4 Mg 2.75



# 6
Below is a relaxed structure of Mg3CuSn3Ru2, with properties calculated at the PBE-GGA level.

Results
For the formation energy from the elements, the calculation gives -0.136 eV per atom. The magnetic moment is 0.00 μB/cell.

a b c (Å): 7.4316 7.4316 3.3787
angles (deg): 90.00 90.00 120.00
Last column: nearest neighbours and their distance in Å.
Space group P-62m (No. 189)
Asymmetric unit:
1 Mg 0.0000 0.2698 0.0000 x3  2 Cu 2.62, 2 Ru 2.74
2 Cu 0.0000 0.0000 0.5000 x1  6 Mg 2.62, 3 Sn 2.84
3 Sn 0.0000 0.6173 0.5000 x3  1 Cu 2.84, 4 Ru 2.87, 6 Mg 3.04-3.09
4 Ru 0.3333 0.6667 0.0000 x2  3 Mg 2.74, 6 Sn 2.87



# 7
Below is a relaxed structure of Tb4MgCuRu2, with properties calculated at the PBE-GGA level.

Results
For the formation energy from the elements, the calculation gives -0.257 eV per atom. The magnetic moment is 0.00 μB/cell.

a b c (Å): 4.9405 4.9405 24.4497
angles (deg): 90.00 90.00 120.00
Last column: nearest neighbours and their distance in Å.
Space group R-3m (No. 166, hexagonal axes)
Asymmetric unit:
1 Tb 0.0000 0.0000 0.1201 x6  1 Cu 2.94, 4 Ru 2.97-3.12, 3 Mg 3.07
2 Tb 0.0000 0.0000 0.3715 x6  3 Cu 3.00, 4 Ru 3.03-3.08, 1 Mg 3.14
3 Mg 0.0000 0.0000 0.5000 x3  8 Tb 3.07-3.14
4 Cu 0.0000 0.0000 0.0000 x3  8 Tb 2.94-3.00
5 Ru 0.0000 0.0000 0.2476 x6  8 Tb 2.97-3.12



# 8
Below is a relaxed structure of TbMgCuRu, with properties calculated at the PBE-GGA level.

Results
For the formation energy from the elements, the calculation gives -0.131 eV per atom. The magnetic moment is 0.00 μB/cell.

a b c (Å): 6.6208 6.6208 6.6208
angles (deg): 90.00 90.00 90.00
Last column: nearest neighbours and their distance in Å.
Space group F-43m (No. 216)
Asymmetric unit:
1 Tb 0.0000 0.0000 0.0000 x4  4 Cu 2.87, 4 Ru 2.87
2 Mg 0.0000 0.0000 0.5000 x4  4 Ru 2.87, 4 Cu 2.87
3 Cu 0.2500 0.2500 0.2500 x4  4 Mg 2.87, 4 Tb 2.87
4 Ru 0.2500 0.2500 0.7500 x4  4 Tb 2.87, 4 Mg 2.87



# 9
Below is a relaxed structure of MgCuTcRu, with properties calculated at the PBE-GGA level.

Results
For the formation energy from the elements, the calculation gives 0.103 eV per atom. The magnetic moment is 0.00 μB/cell.

a b c (Å): 6.1161 6.1161 6.1161
angles (deg): 90.00 90.00 90.00
Last column: nearest neighbours and their distance in Å.
Space group F-43m (No. 216)
Asymmetric unit:
1 Mg 0.0000 0.0000 0.0000 x4  4 Cu 2.65, 4 Ru 2.65
2 Cu 0.2500 0.2500 0.2500 x4  4 Tc 2.65, 4 Mg 2.65
3 Tc 0.0000 0.0000 0.5000 x4  4 Ru 2.65, 4 Cu 2.65
4 Ru 0.2500 0.2500 0.7500 x4  4 Tc 2.65, 4 Mg 2.65



# 10
Below is a relaxed structure of ThMgCuRu, with properties calculated at the PBE-GGA level.

Results
For the formation energy from the elements, the calculation gives -0.136 eV per atom. The magnetic moment is 0.00 μB/cell.

a b c (Å): 6.7852 6.7852 6.7852
angles (deg): 90.00 90.00 90.00
Last column: nearest neighbours and their distance in Å.
Space group F-43m (No. 216)
Asymmetric unit:
1 Th 0.0000 0.0000 0.0000 x4  4 Ru 2.94, 4 Cu 2.94
2 Mg 0.0000 0.0000 0.5000 x4  4 Ru 2.94, 4 Cu 2.94
3 Cu 0.2500 0.2500 0.7500 x4  4 Th 2.94, 4 Mg 2.94
4 Ru 0.2500 0.2500 0.2500 x4  4 Mg 2.94, 4 Th 2.94



# 11
Below is a relaxed structure of MgTiCuRu, with properties calculated at the PBE-GGA level.

Results
For the formation energy from the elements, the calculation gives -0.211 eV per atom. The magnetic moment is 0.00 μB/cell.

a b c (Å): 6.1876 6.1876 6.1876
angles (deg): 90.00 90.00 90.00
Last column: nearest neighbours and their distance in Å.
Space group F-43m (No. 216)
Asymmetric unit:
1 Mg 0.0000 0.0000 0.0000 x4  4 Ru 2.68, 4 Cu 2.68
2 Ti 0.0000 0.0000 0.5000 x4  4 Ru 2.68, 4 Cu 2.68
3 Cu 0.2500 0.2500 0.7500 x4  4 Mg 2.68, 4 Ti 2.68
4 Ru 0.2500 0.2500 0.2500 x4  4 Mg 2.68, 4 Ti 2.68



# 12
Below is a relaxed structure of MgVCuRu, with properties calculated at the PBE-GGA level.

Results
For the formation energy from the elements, the calculation gives -0.002 eV per atom. The magnetic moment is 3.74 μB/cell.

a b c (Å): 6.0868 6.0868 6.0868
angles (deg): 90.00 90.00 90.00
Last column: nearest neighbours and their distance in Å.
Space group F-43m (No. 216)
Asymmetric unit:
1 Mg 0.0000 0.0000 0.0000 x4  4 Ru 2.64, 4 Cu 2.64
2 V 0.0000 0.0000 0.5000 x4  4 Ru 2.64, 4 Cu 2.64
3 Cu 0.2500 0.2500 0.7500 x4  4 Mg 2.64, 4 V 2.64
4 Ru 0.2500 0.2500 0.2500 x4  4 Mg 2.64, 4 V 2.64



Number 7 is which compound?
Tb4MgCuRu2



Which value of magnetic moment does entry 11 give?
0.00 μB/cell



magnetic moment of number 1 (Mg2CuRu2)?
1.88 μB/cell



Look up the magnetic moment of the eighth one.
0.00 μB/cell